! Ti6Pt3O2 | Alexandria via LeMat-Bulk | GGA-PBE | relaxed; values from VASP
&SYSTEM
  ibrav = 0, nat = 11, ntyp = 3
/
ATOMIC_SPECIES
Ti 47.87 Ti.upf
Pt 195.08 Pt.upf
O 16.00 O.upf
ATOMIC_POSITIONS angstrom
Ti 3.222 1.897 7.377
Ti -0.900 -0.530 13.936
Ti 2.408 1.418 12.113
Ti -0.085 -0.050 9.201
Ti 2.515 1.480 2.787
Ti -0.192 -0.113 18.526
Pt 0.000 0.000 0.000
Pt 1.610 0.948 16.752
Pt 0.713 0.420 4.561
O 1.568 0.923 8.295
O 0.755 0.445 13.018
CELL_PARAMETERS angstrom
2.908 0.000 0.500
1.411 2.543 0.500
-1.996 -1.175 20.313
! Total DFT energy (no corrections), eV/cell: -89.2
! Formation energy from raw total energies, eV/atom: -1.25
! SG: No. 166
! V, Å³ per cell: 154

! TiTl2Pt3O12 | Alexandria via LeMat-Bulk | GGA-PBE | relaxed; values from VASP
&SYSTEM
  ibrav = 0, nat = 18, ntyp = 4
/
ATOMIC_SPECIES
Ti 47.87 Ti.upf
Tl 204.38 Tl.upf
Pt 195.08 Pt.upf
O 16.00 O.upf
ATOMIC_POSITIONS angstrom
Ti 0.000 0.000 0.000
Tl -12.361 -1.484 0.447
Tl -5.533 -0.664 0.200
Pt -3.204 1.642 0.635
Pt -2.988 -0.912 -1.897
Pt -2.755 -1.804 1.586
O -9.293 -2.909 2.144
O -13.313 0.217 -1.350
O -12.760 -4.030 -0.178
O -9.838 1.285 0.988
O -13.026 -0.882 2.942
O -9.576 -1.823 -2.093
O -8.602 0.760 -1.497
O -4.582 -2.366 1.997
O -5.134 1.881 0.826
O -8.057 -3.433 -0.340
O -4.869 -1.266 -2.295
O -8.318 -0.326 2.741
CELL_PARAMETERS angstrom
-6.407 3.284 1.270
-5.977 -1.824 -3.794
-5.511 -3.608 3.171
! Total DFT energy (no corrections), eV/cell: -103.6
! Formation energy from raw total energies, eV/atom: -0.74
! SG: No. 166
! V, Å³ per cell: 270

! TiTlPtO6 | Alexandria via LeMat-Bulk | GGA-PBE | relaxed; values from VASP
&SYSTEM
  ibrav = 0, nat = 18, ntyp = 4
/
ATOMIC_SPECIES
Ti 47.87 Ti.upf
Tl 204.38 Tl.upf
Pt 195.08 Pt.upf
O 16.00 O.upf
ATOMIC_POSITIONS angstrom
Ti 2.611 1.508 2.395
Ti 0.000 3.015 7.185
Tl 0.000 0.000 0.000
Tl 0.000 0.000 4.790
Pt 0.000 3.015 2.395
Pt 2.611 1.508 7.185
O 1.677 2.868 1.312
O 4.256 1.636 1.312
O -0.711 4.504 6.101
O -1.645 2.887 8.268
O 0.966 1.636 3.478
O 3.545 2.868 3.478
O 0.711 4.504 8.268
O 3.322 0.019 3.478
O -0.934 1.655 6.101
O 1.900 0.019 1.312
O 1.645 2.887 6.101
O 0.934 1.655 8.268
CELL_PARAMETERS angstrom
5.222 0.000 0.000
-2.611 4.523 0.000
0.000 0.000 9.580
! Total DFT energy (no corrections), eV/cell: -115.2
! Formation energy from raw total energies, eV/atom: -1.29
! SG: No. 163
! V, Å³ per cell: 226

! Y2TiPtO | Alexandria via LeMat-Bulk | GGA-PBE | relaxed; values from VASP
&SYSTEM
  ibrav = 0, nat = 5, ntyp = 4
/
ATOMIC_SPECIES
Y 88.91 Y.upf
O 16.00 O.upf
Pt 195.08 Pt.upf
Ti 47.87 Ti.upf
ATOMIC_POSITIONS angstrom
Y 0.000 0.000 2.408
Y 2.408 0.000 0.000
O 0.000 0.000 0.000
Pt 2.408 1.988 2.408
Ti 0.000 1.988 0.000
CELL_PARAMETERS angstrom
4.816 0.000 0.000
0.000 3.976 0.000
0.000 0.000 4.816
! Total DFT energy (no corrections), eV/cell: -39.5
! Formation energy from raw total energies, eV/atom: -1.53
! SG: No. 123
! V, Å³ per cell: 92

! YTi2PtO | Alexandria via LeMat-Bulk | GGA-PBE | relaxed; values from VASP
&SYSTEM
  ibrav = 0, nat = 5, ntyp = 4
/
ATOMIC_SPECIES
Y 88.91 Y.upf
O 16.00 O.upf
Pt 195.08 Pt.upf
Ti 47.87 Ti.upf
ATOMIC_POSITIONS angstrom
Y -1.751 -0.081 1.543
O 0.000 0.000 0.000
Pt -3.327 -1.682 -0.330
Ti -0.227 -2.023 -0.364
Ti -1.349 0.422 -1.509
CELL_PARAMETERS angstrom
-2.698 0.845 -3.018
-0.453 -4.046 -0.727
-3.503 -0.163 3.086
! Total DFT energy (no corrections), eV/cell: -40.4
! Formation energy from raw total energies, eV/atom: -1.43
! SG: No. 123
! V, Å³ per cell: 80

! Tl2PtO6 | Alexandria via LeMat-Bulk | GGA-PBE | relaxed; values from VASP
&SYSTEM
  ibrav = 0, nat = 18, ntyp = 3
/
ATOMIC_SPECIES
Tl 204.38 Tl.upf
Pt 195.08 Pt.upf
O 16.00 O.upf
ATOMIC_POSITIONS angstrom
Tl -1.993 1.815 2.113
Tl -7.107 1.785 5.666
Tl -3.121 -1.844 1.439
Tl -4.002 3.645 4.244
Pt 0.000 0.000 0.000
Pt -5.114 -0.030 3.552
O -3.454 0.167 2.474
O -4.997 -1.845 2.746
O -6.015 1.199 7.522
O -8.431 2.583 4.056
O -1.798 -2.642 3.049
O -4.213 -1.258 -0.417
O -5.232 1.786 4.359
O -6.774 -0.226 4.631
O -1.176 -1.533 0.207
O -3.057 -3.986 0.540
O -4.059 -0.634 5.067
O -6.170 0.575 2.038
CELL_PARAMETERS angstrom
-4.017 -1.671 -2.353
-0.216 -3.848 3.100
-5.995 5.459 6.358
! Total DFT energy (no corrections), eV/cell: -88.1
! Formation energy from raw total energies, eV/atom: -0.39
! SG: No. 136
! V, Å³ per cell: 252

! Tl2Pt2O | Alexandria via LeMat-Bulk | GGA-PBE | relaxed; values from VASP
&SYSTEM
  ibrav = 0, nat = 10, ntyp = 3
/
ATOMIC_SPECIES
Tl 204.38 Tl.upf
O 16.00 O.upf
Pt 195.08 Pt.upf
ATOMIC_POSITIONS angstrom
Tl 0.573 -5.858 0.945
Tl -2.864 -6.504 0.701
Tl -3.463 -3.097 0.125
Tl -0.025 -2.452 0.369
O 0.000 0.000 0.000
O -1.445 -4.478 0.535
Pt 0.913 -3.851 2.818
Pt -1.375 -6.707 3.023
Pt -4.216 -4.476 2.402
Pt -1.928 -1.619 2.197
CELL_PARAMETERS angstrom
-5.930 -3.108 -0.119
3.041 -5.847 1.189
-0.413 0.629 4.151
! Total DFT energy (no corrections), eV/cell: -41.1
! Formation energy from raw total energies, eV/atom: 0.25
! SG: No. 127
! E above lowest polymorph, eV/atom: 0.120
! V, Å³ per cell: 189

! TlPtO | Alexandria via LeMat-Bulk | GGA-PBE | relaxed; values from VASP
&SYSTEM
  ibrav = 0, nat = 12, ntyp = 3
/
ATOMIC_SPECIES
Tl 204.38 Tl.upf
Pt 195.08 Pt.upf
O 16.00 O.upf
ATOMIC_POSITIONS angstrom
Tl 2.991 2.627 6.591
Tl 2.991 2.627 3.480
Tl 3.988 0.000 8.515
Tl 1.994 0.000 1.556
Pt 4.986 2.627 8.607
Pt 4.986 2.627 1.464
Pt 1.994 0.000 6.499
Pt 3.988 0.000 3.571
O 4.986 1.072 5.035
O 4.986 4.182 5.035
O 3.988 1.555 0.000
O 1.994 3.699 0.000
CELL_PARAMETERS angstrom
3.988 0.000 0.000
1.994 5.254 0.000
1.994 0.000 10.071
! Total DFT energy (no corrections), eV/cell: -53.0
! Formation energy from raw total energies, eV/atom: 0.04
! SG: No. 70
! V, Å³ per cell: 211

! Tl3PtO3 | Alexandria via LeMat-Bulk | GGA-PBE | relaxed; values from VASP
&SYSTEM
  ibrav = 0, nat = 28, ntyp = 3
/
ATOMIC_SPECIES
Tl 204.38 Tl.upf
Pt 195.08 Pt.upf
O 16.00 O.upf
ATOMIC_POSITIONS angstrom
Tl 2.063 0.019 -0.694
Tl 3.088 5.311 2.207
Tl 1.059 5.349 -3.627
Tl 7.159 1.777 -3.596
Tl -1.059 5.349 -0.725
Tl 2.084 3.535 -0.725
Tl 1.048 1.777 5.047
Tl 0.000 3.516 2.176
Tl 6.144 0.019 2.145
Tl 6.122 3.535 2.176
Tl 5.118 5.311 -0.756
Tl 4.103 0.038 5.078
Pt 4.103 3.554 -3.627
Pt 3.077 1.777 2.176
Pt 5.129 1.777 -0.725
Pt 0.000 0.000 2.176
O 5.736 3.312 -2.176
O 4.103 0.484 0.725
O 1.912 0.242 3.232
O 4.850 5.330 -4.683
O 7.041 1.535 0.331
O 6.295 0.242 -1.781
O 4.103 3.070 0.725
O 3.357 5.330 -2.571
O 3.496 2.019 -2.176
O 1.165 1.535 1.120
O 4.710 2.019 3.627
O 2.470 3.312 3.627
CELL_PARAMETERS angstrom
8.207 0.000 -2.901
-4.103 7.107 -2.901
0.000 0.000 8.704
! Total DFT energy (no corrections), eV/cell: -123.4
! Formation energy from raw total energies, eV/atom: -0.40
! SG: No. 214
! V, Å³ per cell: 508

! TlPt3O | Alexandria via LeMat-Bulk | GGA-PBE | relaxed; values from VASP
&SYSTEM
  ibrav = 0, nat = 5, ntyp = 3
/
ATOMIC_SPECIES
Tl 204.38 Tl.upf
O 16.00 O.upf
Pt 195.08 Pt.upf
ATOMIC_POSITIONS angstrom
Tl 0.000 0.000 0.000
O 1.784 -0.478 3.999
Pt 2.472 0.251 0.545
Pt -0.592 1.388 2.047
Pt -0.096 -2.116 1.407
CELL_PARAMETERS angstrom
-0.191 -4.233 2.814
4.943 0.501 1.090
-1.184 2.776 4.095
! Total DFT energy (no corrections), eV/cell: -15.2
! Formation energy from raw total energies, eV/atom: 2.06
! SG: No. 221
! E above lowest polymorph, eV/atom: 1.576
! V, Å³ per cell: 132

! Tl12Pt3O5 | Alexandria via LeMat-Bulk | GGA-PBE | relaxed; values from VASP
&SYSTEM
  ibrav = 0, nat = 80, ntyp = 3
/
ATOMIC_SPECIES
Pt 195.08 Pt.upf
O 16.00 O.upf
Tl 204.38 Tl.upf
ATOMIC_POSITIONS angstrom
Pt 7.873 3.976 1.377
Pt 7.873 8.748 1.377
Pt -1.125 5.567 6.887
Pt 1.125 -0.795 4.132
Pt 10.122 0.000 2.755
Pt 1.125 6.362 2.755
Pt 3.374 0.000 8.265
Pt -5.623 6.362 8.265
Pt 3.374 7.157 6.887
Pt 5.623 0.795 4.132
Pt -3.374 -2.386 9.642
Pt -3.374 2.386 9.642
O -1.125 3.181 2.755
O -2.249 6.362 0.000
O 0.000 0.000 0.000
O 3.374 2.386 1.377
O 4.499 -3.181 5.510
O 4.499 6.362 0.000
O -3.374 7.157 4.132
O 5.623 -3.976 9.642
O 5.623 5.567 4.132
O 1.125 -3.181 8.265
O 3.374 9.543 2.755
O 2.249 3.181 5.510
O 6.748 0.000 0.000
O -2.249 -3.181 5.510
O -1.125 0.795 6.887
O -1.125 10.339 1.377
O -4.499 3.181 5.510
O 7.873 -0.795 6.887
O 1.125 3.976 9.642
O 5.623 3.181 8.265
Tl 8.919 1.381 0.431
Tl 0.079 4.245 4.529
Tl 10.020 2.929 3.123
Tl 5.725 1.941 1.411
Tl 1.671 4.808 7.465
Tl 9.520 6.365 1.956
Tl -1.023 7.351 4.535
Tl -3.476 10.784 1.411
Tl 0.579 7.917 7.465
Tl 6.225 6.359 1.956
Tl 6.827 3.498 4.098
Tl 6.827 11.343 0.431
Tl -3.920 5.688 5.941
Tl 2.772 4.667 0.975
Tl -4.577 9.226 4.098
Tl 2.328 -2.117 6.490
Tl -0.579 0.880 2.386
Tl 2.772 8.054 0.981
Tl 5.725 9.795 3.123
Tl -0.523 4.670 0.981
Tl -2.828 7.242 8.633
Tl 3.272 5.374 4.535
Tl 6.170 7.036 5.941
Tl 5.022 -1.695 10.045
Tl 1.227 0.988 6.485
Tl -1.671 -0.674 5.079
Tl -0.523 8.057 0.975
Tl -1.227 -3.433 7.896
Tl 7.327 -0.880 2.386
Tl 5.022 1.692 10.039
Tl 1.726 -1.692 10.039
Tl 2.171 8.480 4.529
Tl 5.077 5.482 8.633
Tl 9.076 -2.864 6.921
Tl 8.419 0.674 5.079
Tl -2.328 -4.981 10.589
Tl 1.726 1.695 10.045
Tl 3.920 -1.555 3.554
Tl -1.726 0.003 9.064
Tl -2.328 2.864 6.921
Tl 7.975 -4.421 9.608
Tl 5.522 -0.988 6.485
Tl -1.227 4.421 9.608
Tl -5.022 -0.003 9.064
Tl 2.828 1.555 3.554
Tl -5.522 3.433 7.896
Tl 4.420 2.117 6.490
Tl -4.420 4.981 10.589
CELL_PARAMETERS angstrom
13.496 0.000 0.000
-4.499 12.724 0.000
-4.499 -6.362 11.020
! Total DFT energy (no corrections), eV/cell: -307.7
! Formation energy from raw total energies, eV/atom: -0.28
! SG: No. 230
! V, Å³ per cell: 1892

! Tl2Pt3O8 | Alexandria via LeMat-Bulk | GGA-PBE | relaxed; values from VASP
&SYSTEM
  ibrav = 0, nat = 13, ntyp = 3
/
ATOMIC_SPECIES
Tl 204.38 Tl.upf
Pt 195.08 Pt.upf
O 16.00 O.upf
ATOMIC_POSITIONS angstrom
Tl 0.757 0.000 3.274
Tl 2.647 3.195 2.423
Pt 2.709 0.000 0.079
Pt 0.000 1.609 0.000
Pt 0.000 4.781 0.000
O 4.746 3.195 1.215
O -1.342 0.000 4.482
O 4.499 0.000 1.131
O -1.095 3.195 4.566
O 1.742 1.805 4.543
O 1.742 -1.805 4.543
O 1.662 5.001 1.154
O 1.662 1.390 1.154
CELL_PARAMETERS angstrom
5.418 0.000 0.159
0.000 6.391 0.000
-2.014 -3.195 5.538
! Total DFT energy (no corrections), eV/cell: -69.8
! Formation energy from raw total energies, eV/atom: -0.56
! SG: No. 12
! V, Å³ per cell: 194

> Number 1 is which compound?

Ti6Pt3O2

> The lowest total DFT energy (no corrections) belongs to which entry?

Tl12Pt3O5

> Which value of formation energy from raw total energies does entry 1 give?

-1.25 eV/atom